MoRuBr: relaxed, PBEsol.

Cell and atoms, written as extended XYZ:
```
3
Lattice="2.9488 0.0000 0.0000 -1.4744 2.5537 0.0000 0.0000 0.0000 6.3213" Properties=species:S:1:pos:R:3 pbc="T T T"
Mo 0.0000 0.0000 0.0000
Ru 1.4744 0.8512 4.3726
Br 0.0000 1.7025 2.0487
```

Summary:
The calculation puts the energy relative to the elements, uncorrected at 1.20 eV per formula unit. As for the space group: P3m1, No. 156. Its volume is 15.87 Å³ per atom. The calculation puts the energy above the lowest structure with this stoichiometry at 34 meV/atom.

Mo2SBr: relaxed, PBEsol.

Cell and atoms, written as extended XYZ:
```
4
Lattice="0.0000 3.0651 3.0651 3.0651 0.0000 3.0651 3.0651 3.0651 0.0000" Properties=species:S:1:pos:R:3 pbc="T T T"
Mo 1.5326 1.5326 1.5326
Mo 4.5977 4.5977 4.5977
S 0.0000 0.0000 0.0000
Br 3.0651 3.0651 3.0651
```

Summary:
The calculation puts the energy relative to the elements, uncorrected at 1.40 eV per formula unit. As for the space group: Fm-3m, No. 225. Its volume is 14.40 Å³ per atom.

MoSBr: relaxed, PBEsol.

Cell and atoms, written as extended XYZ:
```
12
Lattice="0.0000 4.9253 4.9253 4.9253 0.0000 4.9253 4.9253 4.9253 0.0000" Properties=species:S:1:pos:R:3 pbc="T T T"
Mo 3.9503 3.9503 3.9503
Mo 5.9004 5.9004 3.9503
Mo 5.9004 3.9503 5.9004
Mo 3.9503 5.9004 5.9004
S 6.2358 3.6149 3.6149
S 3.6149 6.2358 3.6149
S 3.6149 3.6149 6.2358
S 6.2358 6.2358 6.2358
Br 1.2585 1.2585 1.2585
Br 3.6668 3.6668 1.2585
Br 3.6668 1.2585 3.6668
Br 1.2585 3.6668 3.6668
```

Summary:
The calculation puts the energy relative to the elements, uncorrected at -2.47 eV per formula unit. As for the space group: F-43m, No. 216. Its volume is 19.91 Å³ per atom.

| no. | theoretical density (g cm⁻³) |
| --- | --- |
| 1 | 9.66 |
| 2 | 8.76 |
| 3 | 5.78 |